Entry 1:
Computed, not measured: an optimized crystal structure of LaMgIn at the GGA-PBE level of DFT. Values from VASP.

Structure (Quantum ESPRESSO input):
```
&SYSTEM
  ibrav = 0, nat = 6, ntyp = 3
/
ATOMIC_SPECIES
La 138.91 La.upf
Mg 24.30 Mg.upf
In 114.82 In.upf
CELL_PARAMETERS angstrom
5.190 0.000 0.000
0.000 3.747 0.000
0.000 0.000 8.941
ATOMIC_POSITIONS crystal
La 0.250 0.000 0.235
La 0.750 0.000 0.765
Mg 0.250 0.500 0.577
Mg 0.750 0.500 0.423
In 0.250 0.500 0.907
In 0.750 0.500 0.093
```

Values from the calculation:
space group	Pmma (51)
calculated formation energy	-0.30	eV per atom


Entry 2:
Computed, not measured: an optimized crystal structure of La2MgIn at the GGA-PBE level of DFT. Values from VASP.

Structure (Quantum ESPRESSO input):
```
&SYSTEM
  ibrav = 0, nat = 4, ntyp = 3
/
ATOMIC_SPECIES
La 138.91 La.upf
Mg 24.30 Mg.upf
In 114.82 In.upf
CELL_PARAMETERS angstrom
-2.402 2.402 5.176
2.402 -2.402 5.176
2.402 2.402 -5.176
ATOMIC_POSITIONS crystal
La 0.000 0.000 0.000
La 0.750 0.250 0.500
Mg 0.250 0.750 0.500
In 0.500 0.500 0.000
```

Values from the calculation:
space group	I-4m2 (119)
calculated formation energy	-0.26	eV per atom


Entry 3:
Computed, not measured: an optimized crystal structure of La15MgIn4 at the GGA-PBE level of DFT. Values from VASP.

Structure (Quantum ESPRESSO input):
```
&SYSTEM
  ibrav = 0, nat = 20, ntyp = 3
/
ATOMIC_SPECIES
La 138.91 La.upf
Mg 24.30 Mg.upf
In 114.82 In.upf
CELL_PARAMETERS angstrom
5.078 0.000 0.000
0.000 5.078 0.000
0.000 0.000 25.375
ATOMIC_POSITIONS crystal
La 0.000 0.000 0.000
La 0.000 0.000 0.200
La 0.000 0.000 0.400
La 0.000 0.000 0.600
La 0.000 0.000 0.800
La 0.000 0.500 0.102
La 0.000 0.500 0.301
La 0.000 0.500 0.500
La 0.000 0.500 0.699
La 0.000 0.500 0.898
La 0.500 0.000 0.102
La 0.500 0.000 0.301
La 0.500 0.000 0.500
La 0.500 0.000 0.699
La 0.500 0.000 0.898
Mg 0.500 0.500 0.000
In 0.500 0.500 0.200
In 0.500 0.500 0.400
In 0.500 0.500 0.600
In 0.500 0.500 0.800
```

Values from the calculation:
space group	P4/mmm (123)
calculated formation energy	-0.24	eV per atom


Entry 4:
Computed, not measured: an optimized crystal structure of La2Mg2In at the GGA-PBE level of DFT. Values from VASP.

Structure (Quantum ESPRESSO input):
```
&SYSTEM
  ibrav = 0, nat = 10, ntyp = 3
/
ATOMIC_SPECIES
La 138.91 La.upf
Mg 24.30 Mg.upf
In 114.82 In.upf
CELL_PARAMETERS angstrom
7.552 0.000 0.000
0.000 7.552 0.000
0.000 0.000 5.184
ATOMIC_POSITIONS crystal
La 0.170 0.330 0.000
La 0.330 0.830 0.000
La 0.670 0.170 0.000
La 0.830 0.670 0.000
Mg 0.135 0.635 0.500
Mg 0.365 0.135 0.500
Mg 0.635 0.865 0.500
Mg 0.865 0.365 0.500
In 0.000 0.000 0.500
In 0.500 0.500 0.500
```

Values from the calculation:
space group	P4/mbm (127)
calculated formation energy	-0.20	eV per atom


Entry 5:
Computed, not measured: an optimized crystal structure of LaMgIn at the GGA-PBE level of DFT. Values from VASP.

Structure (Quantum ESPRESSO input):
```
&SYSTEM
  ibrav = 0, nat = 6, ntyp = 3
/
ATOMIC_SPECIES
La 138.91 La.upf
Mg 24.30 Mg.upf
In 114.82 In.upf
CELL_PARAMETERS angstrom
4.839 0.000 0.000
0.000 4.532 0.000
-2.256 0.000 7.594
ATOMIC_POSITIONS crystal
La 0.158 0.000 0.342
La 0.842 0.000 0.658
Mg 0.000 0.500 0.000
Mg 0.500 0.000 0.000
In 0.370 0.500 0.721
In 0.630 0.500 0.279
```

Values from the calculation:
space group	P2/m (10)
calculated formation energy	-0.30	eV per atom


Entry 6:
Computed, not measured: an optimized crystal structure of La2MgIn4 at the GGA-PBE level of DFT. Values from VASP.

Structure (Quantum ESPRESSO input):
```
&SYSTEM
  ibrav = 0, nat = 7, ntyp = 3
/
ATOMIC_SPECIES
La 138.91 La.upf
Mg 24.30 Mg.upf
In 114.82 In.upf
CELL_PARAMETERS angstrom
-2.588 2.588 8.287
2.588 -2.588 8.287
2.588 2.588 -8.287
ATOMIC_POSITIONS crystal
La 0.134 0.134 0.000
La 0.866 0.866 0.000
Mg 0.500 0.500 0.000
In 0.000 0.500 0.500
In 0.329 0.329 0.000
In 0.500 0.000 0.500
In 0.671 0.671 0.000
```

Values from the calculation:
space group	I4/mmm (139)
calculated formation energy	-0.07	eV per atom


The highest calculated formation energy belongs to which entry?
La2MgIn4